1.
DFT (GGA-PBE) results for crystalline Nd3Zn2Pd7 at its relaxed geometry.

a b c (Å): 4.144 4.144 14.084
angles (deg): 98.46 98.46 90.00
Fractional coordinates of all 12 atoms:
Pd (0.000, 0.000, 0.000)
Pd (0.922, 0.422, 0.843)
Nd (0.500, 0.500, 0.000)
Nd (0.672, 0.672, 0.345)
Pd (0.578, 0.078, 0.157)
Pd (0.222, 0.222, 0.444)
Pd (0.422, 0.922, 0.843)
Pd (0.078, 0.578, 0.157)
Pd (0.778, 0.778, 0.556)
Zn (0.869, 0.869, 0.738)
Nd (0.328, 0.328, 0.655)
Zn (0.131, 0.131, 0.262)

Its magnetization is 0.00 μB/f.u. The value obtained for the uncorrected energy is -61.01 eV for the cell shown. As for the space group: I4/mmm. Its formation energy is -0.6505 eV per atom. For the offset from the most stable computed form, the calculation gives 0.000 eV per atom.


2.
DFT (GGA-PBE) results for crystalline Ac2Pr5NdTm at its relaxed geometry.

a b c (Å): 5.669 11.720 10.553
angles (deg): 90.00 90.00 104.00
Fractional coordinates of all 18 atoms:
Tm (0.219, 0.437, 0.008)
Pr (0.278, 0.556, 0.319)
Pr (0.002, 0.004, 0.008)
Pr (0.378, 0.757, 0.008)
Pr (0.722, 0.443, 0.198)
Ac (0.117, 0.234, 0.745)
Pr (0.622, 0.243, 0.508)
Pr (0.998, 0.996, 0.508)
Ac (0.883, 0.766, 0.245)
Ac (0.117, 0.234, 0.271)
Ac (0.883, 0.766, 0.771)
Pr (0.278, 0.557, 0.698)
Nd (0.603, 0.206, 0.008)
Pr (0.500, 0.000, 0.258)
Nd (0.397, 0.794, 0.508)
Tm (0.781, 0.563, 0.508)
Pr (0.722, 0.444, 0.819)
Pr (0.500, 0.000, 0.758)

Its magnetization is 0.00 μB/f.u. The value obtained for the uncorrected energy is -80.76 eV for the cell shown. As for the space group: Cmcm. Its formation energy is 0.1084 eV per atom.


3.
DFT (GGA-PBE) results for crystalline LuCoC at its relaxed geometry.

a b c (Å): 3.800 3.424 3.424
angles (deg): 120.00 90.00 90.00
Fractional coordinates of all 3 atoms:
Co (0.167, 0.333, 0.667)
Lu (0.667, 0.667, 0.333)
C (0.166, 0.000, 0.000)

Its magnetization is 0.00 μB/f.u. The value obtained for the uncorrected energy is -21.35 eV for the cell shown. As for the space group: P-6m2. Its formation energy is -0.1665 eV per atom. For the offset from the most stable computed form, the calculation gives 0.201 eV per atom.